[1]
Entry from Alexandria: CuAgSbAu after structural relaxation (PBE-GGA).

calculated volume	75.2	Å³ per cell
ΔE_f (raw)	160	meV/atom

The structure in POSCAR format:
```
CuAgSbAu
1.0
-1.201 1.826 -4.205
-4.269 -0.909 -1.846
-3.254 3.436 -0.249
Ag Sb Cu Au
1 1 1 1
Cartesian
0.000 0.000 0.000
-4.362 2.177 -3.150
-2.181 1.088 -1.575
-6.542 3.265 -4.725
```

***

[2]
Entry from Alexandria: CuSiAgAu after structural relaxation (PBE-GGA).

calculated volume	62.6	Å³ per cell
ΔE_f (raw)	134	meV/atom

The structure in POSCAR format:
```
CuSiAgAu
1.0
4.457 0.000 0.000
2.229 3.860 0.000
2.229 1.287 3.639
Ag Au Cu Si
1 1 1 1
Cartesian
0.000 0.000 0.000
4.457 2.573 1.820
2.229 1.287 0.910
6.686 3.860 2.730
```

***

[3]
Entry from Alexandria: SmCuAgAu after structural relaxation (PBE-GGA).

calculated volume	81.3	Å³ per cell
formation enthalpy at 0 K	-32.1	kJ/mol of atoms

The structure in POSCAR format:
```
SmCuAgAu
1.0
-2.567 1.686 3.770
1.653 -0.606 4.533
1.620 3.824 2.529
Au Ag Sm Cu
1 1 1 1
Cartesian
0.530 3.678 8.124
0.353 2.452 5.416
0.000 0.000 0.000
0.177 1.226 2.708
```

***

[4]
Entry from Alexandria: Cu2AgSn2Au5 after structural relaxation (PBE-GGA).

calculated volume	378.2	Å³ per cell
formation enthalpy at 0 K	-2.9	kJ/mol of atoms

The structure in POSCAR format:
```
Cu2AgSn2Au5
1.0
3.890 0.000 0.000
0.000 9.860 0.000
0.000 0.000 9.860
Sn Au Cu Ag
4 10 4 2
Cartesian
0.000 8.179 6.611
0.000 3.249 8.179
0.000 6.611 1.681
0.000 1.681 3.249
1.945 7.792 9.629
1.945 5.162 6.999
1.945 9.629 2.069
1.945 0.000 4.930
1.945 2.861 5.162
1.945 4.930 0.000
1.945 4.698 2.861
1.945 0.232 7.792
1.945 6.999 4.698
1.945 2.069 0.232
0.000 8.488 3.558
0.000 6.302 8.488
0.000 1.372 6.302
0.000 3.558 1.372
0.000 0.000 0.000
0.000 4.930 4.930
```

***

[5]
Entry from Alexandria: CuAgSnAu after structural relaxation (PBE-GGA).

calculated volume	73.0	Å³ per cell
formation enthalpy at 0 K	3.0	kJ/mol of atoms

The structure in POSCAR format:
```
CuAgSnAu
1.0
-2.925 0.963 -3.540
0.935 -1.589 -4.315
-2.629 -3.410 -1.865
Au Sn Cu Ag
1 1 1 1
Cartesian
0.000 0.000 0.000
-1.155 -1.009 -2.430
-2.309 -2.018 -4.860
-3.464 -3.026 -7.290
```

***

[6]
Entry from Alexandria: SrCuAgAu3 after structural relaxation (PBE-GGA).

calculated volume	266.3	Å³ per cell
formation enthalpy at 0 K	-18.8	kJ/mol of atoms

The structure in POSCAR format:
```
SrCuAgAu3
1.0
6.064 0.000 0.000
0.000 6.646 0.000
0.000 -3.323 6.607
Au Ag Sr Cu
6 2 2 2
Cartesian
0.000 4.725 0.000
0.000 1.921 0.000
1.516 0.000 1.918
4.548 3.323 4.689
3.032 4.725 0.000
3.032 1.921 0.000
1.516 0.000 4.639
4.548 3.323 1.968
1.516 3.323 2.787
4.548 0.000 3.820
4.548 0.000 0.758
1.516 3.323 5.849
```

***

[7]
Entry from Alexandria: TbCuAgAu after structural relaxation (PBE-GGA).

calculated volume	78.4	Å³ per cell
formation enthalpy at 0 K	-34.6	kJ/mol of atoms

The structure in POSCAR format:
```
TbCuAgAu
1.0
-1.369 0.678 -4.555
-1.838 -3.651 -2.525
-4.668 -0.026 -1.134
Tb Cu Au Ag
1 1 1 1
Cartesian
0.000 0.000 0.000
-1.969 -0.750 -2.053
-5.907 -2.249 -6.160
-3.938 -1.499 -4.107
```

***

[8]
Entry from Alexandria: ThCuAgAu after structural relaxation (PBE-GGA).

calculated volume	83.9	Å³ per cell
formation enthalpy at 0 K	-26.1	kJ/mol of atoms

The structure in POSCAR format:
```
ThCuAgAu
1.0
-3.106 3.530 1.426
-4.848 -0.667 -0.444
-2.770 -0.636 4.009
Au Ag Th Cu
1 1 1 1
Cartesian
-8.043 1.670 3.743
0.000 0.000 0.000
-5.362 1.114 2.495
-2.681 0.557 1.248
```

***

[9]
Entry from Alexandria: Tm4CuAgAu2 after structural relaxation (PBE-GGA).

calculated volume	176.5	Å³ per cell
formation enthalpy at 0 K	-58.2	kJ/mol of atoms

The structure in POSCAR format:
```
Tm4CuAgAu2
1.0
-2.334 2.633 3.539
-4.987 0.118 0.142
-2.457 -5.653 6.104
Tm Ag Au Cu
4 1 2 1
Cartesian
-4.883 0.958 3.104
-4.895 -3.860 6.681
-7.328 0.237 5.547
-2.451 -3.138 4.237
0.000 0.000 0.000
-7.334 -2.199 7.355
-2.445 -0.702 2.429
-4.889 -1.451 4.892
```

***

[10]
Entry from Alexandria: TmCuAgAu after structural relaxation (PBE-GGA).

calculated volume	75.6	Å³ per cell
formation enthalpy at 0 K	-35.6	kJ/mol of atoms

The structure in POSCAR format:
```
TmCuAgAu
1.0
4.747 0.000 0.000
2.374 4.111 0.000
2.374 1.370 3.876
Cu Ag Tm Au
1 1 1 1
Cartesian
7.121 4.111 2.907
4.747 2.741 1.938
0.000 0.000 0.000
2.374 1.370 0.969
```

***

[11]
Entry from Alexandria: YCuAgAu after structural relaxation (PBE-GGA).

calculated volume	78.2	Å³ per cell
formation enthalpy at 0 K	-34.5	kJ/mol of atoms

The structure in POSCAR format:
```
YCuAgAu
1.0
-1.982 1.974 3.900
-4.748 0.674 0.199
-2.682 -2.677 2.945
Y Cu Au Ag
1 1 1 1
Cartesian
-7.059 -0.022 5.283
0.000 0.000 0.000
-4.706 -0.015 3.522
-2.353 -0.007 1.761
```

***

[12]
Entry from Alexandria: Zn2Cu2Ag2Au after structural relaxation (PBE-GGA).

calculated volume	107.3	Å³ per cell
formation enthalpy at 0 K	-4.2	kJ/mol of atoms

The structure in POSCAR format:
```
Zn2Cu2Ag2Au
1.0
4.002 0.000 0.000
-2.001 4.268 0.122
0.000 -1.361 6.240
Cu Zn Ag Au
2 2 2 1
Cartesian
2.001 2.280 3.594
0.000 0.628 2.769
2.001 1.551 1.104
0.000 1.357 5.258
0.000 3.185 1.892
2.001 -0.278 4.471
0.000 0.000 0.000
```

***

[13]
Entry from Alexandria: Zn4CuAgAu after structural relaxation (PBE-GGA).

calculated volume	274.7	Å³ per cell
formation enthalpy at 0 K	5.3	kJ/mol of atoms

The structure in POSCAR format:
```
Zn4CuAgAu
1.0
-3.908 -2.625 -1.621
1.764 -6.115 5.651
-1.831 4.253 5.174
Au Zn Cu Ag
2 8 2 2
Cartesian
-1.814 -4.980 4.791
-2.161 0.493 4.413
-4.714 -0.355 4.292
-0.915 2.126 2.587
-1.988 -2.244 4.602
-2.870 0.814 1.776
0.738 -4.132 4.912
-0.034 -0.931 5.412
-2.157 -1.883 8.249
-1.819 -2.604 0.954
-3.249 -1.493 2.603
-0.726 -2.995 6.600
-0.492 -0.804 2.488
-3.483 -3.684 6.715
```

***

[14]
Entry from Alexandria: Zn5CuAg2Au2 after structural relaxation (PBE-GGA).

calculated volume	333.7	Å³ per cell
formation enthalpy at 0 K	-4.1	kJ/mol of atoms

The structure in POSCAR format:
```
Zn5CuAg2Au2
1.0
-2.728 0.984 0.419
-2.048 -8.366 6.300
3.311 5.572 8.477
Zn Au Ag Cu
10 4 4 2
Cartesian
-2.752 -6.708 8.069
1.286 4.898 7.127
-0.119 0.073 9.300
-2.388 -3.691 3.359
-1.347 -1.883 5.896
-1.721 -1.055 1.517
0.255 -0.755 13.679
0.291 3.278 4.448
-1.164 -2.578 8.715
-0.302 0.768 6.481
1.846 2.365 6.465
-0.217 -2.083 3.478
1.479 -0.711 11.299
-0.583 -5.159 8.312
2.083 1.840 9.245
-0.821 -4.634 5.532
0.471 -3.333 10.889
0.792 0.539 3.888
0.000 0.000 0.000
0.631 -1.397 7.388
```

***

[15]
Entry from Alexandria: ZnCuAgAu after structural relaxation (PBE-GGA).

calculated volume	62.5	Å³ per cell
formation enthalpy at 0 K	-7.2	kJ/mol of atoms

The structure in POSCAR format:
```
ZnCuAgAu
1.0
-3.590 1.459 1.482
-0.474 -3.453 2.251
3.805 2.554 0.897
Au Ag Cu Zn
1 1 1 1
Cartesian
0.649 -0.948 2.507
-0.909 1.508 2.122
1.773 1.557 2.763
0.000 0.000 0.000
```

***

[16]
Entry from Alexandria: Zn2CuAg2Au5 after structural relaxation (PBE-GGA).

calculated volume	354.9	Å³ per cell
formation enthalpy at 0 K	-4.8	kJ/mol of atoms

The structure in POSCAR format:
```
Zn2CuAg2Au5
1.0
3.683 0.000 0.000
0.000 9.816 0.000
0.000 0.000 9.816
Zn Ag Au Cu
4 4 10 2
Cartesian
0.000 3.575 1.333
0.000 1.333 6.241
0.000 8.483 3.575
0.000 6.241 8.483
0.000 6.458 1.550
0.000 3.358 8.266
0.000 8.266 6.458
0.000 1.550 3.358
1.842 3.819 3.226
1.842 3.226 5.998
1.842 4.908 0.000
1.842 0.000 4.908
1.842 1.682 1.089
1.842 6.590 3.819
1.842 8.727 1.682
1.842 8.135 8.727
1.842 5.998 6.590
1.842 1.089 8.135
0.000 4.908 4.908
0.000 0.000 0.000
```

***

[17]
Entry from Alexandria: Zn2Cu2AgAu2 after structural relaxation (PBE-GGA).

calculated volume	108.0	Å³ per cell
formation enthalpy at 0 K	-8.6	kJ/mol of atoms

The structure in POSCAR format:
```
Zn2Cu2AgAu2
1.0
3.831 0.000 0.000
-1.915 4.433 0.271
0.000 -1.197 6.285
Cu Au Ag Zn
2 2 1 2
Cartesian
0.000 0.657 2.772
1.915 2.579 3.783
0.000 1.508 5.337
1.915 1.728 1.219
0.000 0.000 0.000
1.915 -0.170 4.417
0.000 3.406 2.139
```

***

[18]
Entry from Alexandria: Zn4Cu2Ag2Au3 after structural relaxation (PBE-GGA).

calculated volume	180.2	Å³ per cell
formation enthalpy at 0 K	-5.5	kJ/mol of atoms

The structure in POSCAR format:
```
Zn4Cu2Ag2Au3
1.0
4.351 0.000 0.000
-2.175 3.768 0.000
0.000 0.000 10.991
Ag Cu Au Zn
2 2 3 4
Cartesian
2.175 1.256 4.651
0.000 2.512 6.341
0.000 2.512 0.935
2.175 1.256 10.056
0.000 0.000 0.000
0.000 0.000 2.878
0.000 0.000 8.114
2.175 1.256 1.693
2.175 1.256 7.379
0.000 2.512 3.612
0.000 2.512 9.298
```

***

[19]
Entry from Alexandria: Zn5Cu2Ag2Au after structural relaxation (PBE-GGA).

calculated volume	311.3	Å³ per cell
formation enthalpy at 0 K	-3.0	kJ/mol of atoms

The structure in POSCAR format:
```
Zn5Cu2Ag2Au
1.0
3.869 0.000 0.000
0.000 8.970 0.000
0.000 0.000 8.970
Zn Cu Au Ag
10 4 2 4
Cartesian
1.935 6.304 3.780
1.935 0.705 7.151
1.935 8.266 1.819
1.935 0.000 4.485
1.935 7.151 8.266
1.935 5.190 6.304
1.935 3.780 2.666
1.935 4.485 0.000
1.935 1.819 0.705
1.935 2.666 5.190
0.000 1.041 5.526
0.000 3.444 1.041
0.000 7.929 3.444
0.000 5.526 7.929
0.000 4.485 4.485
0.000 0.000 0.000
0.000 7.382 6.073
0.000 1.588 2.897
0.000 2.897 7.382
0.000 6.073 1.588
```

***

[20]
Entry from Alexandria: ZnCu2Ag2Au5 after structural relaxation (PBE-GGA).

calculated volume	347.0	Å³ per cell
formation enthalpy at 0 K	-1.3	kJ/mol of atoms

The structure in POSCAR format:
```
ZnCu2Ag2Au5
1.0
3.948 0.000 0.000
0.000 9.376 0.000
0.000 0.000 9.376
Cu Au Ag Zn
4 10 4 2
Cartesian
0.000 1.189 5.877
0.000 8.187 3.499
0.000 5.877 8.187
0.000 3.499 1.189
1.974 5.489 6.502
1.974 3.887 2.874
1.974 0.000 4.688
1.974 6.502 3.887
1.974 0.801 7.562
1.974 1.814 0.801
1.974 8.575 1.814
1.974 4.688 0.000
1.974 2.874 5.489
1.974 7.562 8.575
0.000 1.576 3.112
0.000 3.112 7.800
0.000 7.800 6.263
0.000 6.263 1.576
0.000 4.688 4.688
0.000 0.000 0.000
```